Entry from Alexandria via LeMat-Bulk: a relaxed Tb2SmTm2 crystal (PBE).

Unit cell a=5.704 b=6.753 c=10.007 alpha=98.70 beta=73.44 gamma=65.02
Atoms (fractional coordinates):
Tm  0.936  0.205  0.922
Tm  0.684  0.264  0.368
Tm  0.064  0.795  0.078
Tm  0.316  0.736  0.632
Tb  0.114  0.228  0.543
Tb  0.536  0.699  0.230
Tb  0.886  0.772  0.457
Tb  0.464  0.301  0.770
Sm  0.299  0.251  0.151
Sm  0.701  0.749  0.849

Values from the calculation:
SG: C2/m
ΔE_f: 0.112 eV/atom
Total DFT energy (no corrections): -4.472 eV/atom
Volume: 318 Å³ per cell